Nd12DyEr7 | PBE | relaxed

Cell: 6.2172 11.5264 11.5264 Å, 116.84 100.36 100.36°
Last column: nearest neighbours and their distance in Å.
Positions (direct):
Dy1 0.0000 0.0000 0.0000  8 Er 3.05-3.11
Nd1 0.4157 0.3527 0.9999  4 Er 3.32-3.59, 1 Nd 3.37
Nd2 0.0875 0.1750 0.5875  2 Er 3.38-3.39, 5 Nd 3.40-3.75
Nd3 0.5842 0.9999 0.6472  4 Er 3.32-3.59, 1 Nd 3.37
Nd4 0.9125 0.4125 0.8250  2 Er 3.38-3.39, 5 Nd 3.40-3.75
Nd5 0.9125 0.8250 0.4125  2 Er 3.38-3.39, 5 Nd 3.40-3.75
Nd6 0.5001 0.5875 0.4125  2 Er 3.38-3.39, 5 Nd 3.40-3.75
Nd7 0.9370 0.3528 0.3527  4 Er 3.32-3.59, 1 Nd 3.37
Nd8 0.0630 0.6472 0.6473  4 Er 3.32-3.59, 1 Nd 3.37
Er1 0.5000 0.0000 0.0000  2 Dy 3.11, 6 Er 3.31
Er2 0.1251 0.9998 0.7562  1 Dy 3.05, 1 Er 3.31, 4 Nd 3.32-3.39
Er3 0.6311 0.7562 0.7564  1 Dy 3.05, 1 Er 3.31, 4 Nd 3.32-3.39
Nd9 0.4999 0.4125 0.5875  2 Er 3.38-3.39, 5 Nd 3.40-3.75
Er4 0.8747 0.2436 0.9998  1 Dy 3.05, 1 Er 3.31, 4 Nd 3.32-3.39
Er5 0.8749 0.0002 0.2438  1 Dy 3.05, 1 Er 3.31, 4 Nd 3.32-3.39
Nd10 0.0875 0.5875 0.1750  2 Er 3.38-3.39, 5 Nd 3.40-3.75
Nd11 0.4158 0.0001 0.3528  4 Er 3.32-3.59, 1 Nd 3.37
Nd12 0.5843 0.6473 0.0001  4 Er 3.32-3.59, 1 Nd 3.37
Er6 0.3689 0.2438 0.2436  1 Dy 3.05, 1 Er 3.31, 4 Nd 3.32-3.39
Er7 0.1253 0.7564 0.0002  1 Dy 3.05, 1 Er 3.31, 4 Nd 3.32-3.39

For the energy relative to the lowest polymorph listed for this composition, the calculation gives 86 meV per atom. The formation enthalpy at 0 K comes out at 0.236 eV/atom.